Entry 1:
DFT (GGA-PBE) results for a relaxed Hf6Al16Pt7 crystal.

Summary:
**Density of states at the Fermi level**: 5.71 states/eV/f.u.
**Calculated formation energy**: -0.880 eV/atom
**Calculated density**: 10.0 Mg/m³

POSCAR file:
```
Hf6Al16Pt7
1.0
-1.625 6.668 5.434
-2.519 -1.577 8.233
5.455 1.663 6.641
Al Pt Hf
16 7 6
Cartesian
0.157 0.811 2.439
-0.633 6.662 10.389
-1.223 1.223 12.236
2.991 1.675 5.890
0.439 2.263 6.805
-1.681 5.079 14.419
0.871 4.491 13.503
-1.152 -0.008 6.717
1.153 5.943 17.869
2.462 6.762 13.591
-0.687 4.276 5.262
1.943 0.092 9.919
-2.727 3.394 9.122
2.533 5.531 8.072
4.037 3.360 11.186
1.997 2.479 15.046
-2.072 2.545 6.834
2.727 0.832 3.321
-1.260 -0.789 4.117
1.915 4.166 6.037
0.000 0.000 0.000
1.468 0.043 7.437
-0.812 3.334 2.717
1.804 5.169 10.849
-0.493 1.585 9.459
-1.081 3.997 11.425
1.480 2.187 11.862
2.391 2.757 8.883
-0.170 4.568 8.446
```

---

Entry 2:
DFT (GGA-PBE) results for a relaxed HfAl2Pt crystal.

Summary:
**Density of states at the Fermi level**: 1.84 states/eV/f.u.
**Calculated formation energy**: -0.465 eV/atom
**Calculated density**: 9.6 Mg/m³

POSCAR file:
```
HfAl2Pt
1.0
7.318 0.000 0.000
0.000 7.318 0.000
3.659 3.659 2.764
Pt Al Hf
2 4 2
Cartesian
7.318 3.659 1.382
0.000 0.000 0.000
9.148 9.461 2.073
5.802 1.830 0.691
1.517 5.489 0.691
5.489 5.176 2.073
3.659 3.659 0.000
3.659 7.318 1.382
```

---

Entry 3:
DFT (GGA-PBE) results for a relaxed HfAlPt2 crystal.

Summary:
**Density of states at the Fermi level**: 2.93 states/eV/f.u.
**Calculated formation energy**: -0.511 eV/atom
**Calculated density**: 13.3 Mg/m³

POSCAR file:
```
HfAlPt2
1.0
-2.871 -0.210 -2.956
-0.783 -3.916 1.039
-7.862 0.647 4.709
Al Pt Hf
2 4 2
Cartesian
-1.827 -2.063 -0.959
-5.236 -2.666 2.395
-2.869 -2.316 1.400
-9.079 -3.050 1.834
-3.803 -0.455 -0.484
-7.282 -1.137 2.833
0.000 0.000 0.000
-6.280 -0.813 0.397
```

---

Entry 4:
DFT (GGA-PBE) results for a relaxed HfAlPt crystal.

Summary:
**Density of states at the Fermi level**: 1.59 states/eV/f.u.
**Calculated formation energy**: -0.898 eV/atom
**Calculated density**: 12.7 Mg/m³

POSCAR file:
```
HfAlPt
1.0
3.166 0.000 0.000
0.000 4.375 0.000
0.000 -2.188 3.789
Pt Al Hf
1 1 1
Cartesian
0.528 0.000 2.526
0.527 0.000 0.000
2.110 2.188 1.263
```

---

- Among the records above, which one has the lowest density of states at the Fermi level?
  HfAlPt

---

- Look up the calculated formation energy of the fourth one.
  -0.898 eV/atom

---

- Among the records above, which one has the highest calculated density?
  HfAlPt2

---

- Among the records above, which one has the highest calculated density?
  HfAlPt2